[1]
Entry from Alexandria via LeMat-Bulk: crystalline BaPa3Mn4N12 at its relaxed geometry (PBE).

Cell lengths 7.1522, 7.1522, 7.1522 Å; angles 103.88, 103.88, 103.88 degrees
With the nearest neighbours (Å) after each atom.
Fractional positions:
Ba: 0.0000 0.0000 0.0000  6 N 2.84
Pa: 0.5555 0.4445 0.0000  6 N 2.25-2.30
Pa: 0.4445 0.0000 0.5555  6 N 2.25-2.30
Pa: 0.0000 0.5555 0.4445  6 N 2.25-2.30
Mn: 0.9447 0.0553 0.5000  3 N 1.68-1.77
Mn: 0.0553 0.5000 0.9447  3 N 1.68-1.77
Mn: 0.5000 0.9447 0.0553  3 N 1.68-1.77
Mn: 0.5000 0.5000 0.5000  3 N 1.76
N: 0.5000 0.3438 0.6562  1 Mn 1.76
N: 0.8977 0.5000 0.1023  1 Mn 1.77
N: 0.1023 0.8977 0.5000  1 Mn 1.77
N: 0.5000 0.1023 0.8977  1 Mn 1.77
N: 0.3715 0.9708 0.2236  1 Mn 1.68
N: 0.2236 0.3715 0.9708  1 Mn 1.68
N: 0.9708 0.2236 0.3715  1 Mn 1.68
N: 0.6285 0.7764 0.0292  1 Mn 1.68
N: 0.0292 0.6285 0.7764  1 Mn 1.68
N: 0.7764 0.0292 0.6285  1 Mn 1.68
N: 0.6562 0.5000 0.3438  1 Mn 1.76
N: 0.3438 0.6562 0.5000  1 Mn 1.76

Results
total magnetization = 8.50 μB per formula unit
energy relative to the elements, uncorrected = -544 meV per atom

---

[2]
Entry from Alexandria via LeMat-Bulk: crystalline Dy2YZn at its relaxed geometry (PBE).

Cell lengths 3.6714, 5.2531, 6.5274 Å; angles 113.77, 106.33, 90.00 degrees
With the nearest neighbours (Å) after each atom.
Fractional positions:
Dy: 0.7879 0.7880 0.5759  2 Zn 3.03, 4 Dy 3.32
Dy: 0.2121 0.2120 0.4241  2 Zn 3.03, 4 Dy 3.32
Y: 0.0000 0.5000 0.0000  4 Zn 3.20, 4 Dy 3.56-3.57
Zn: 0.5000 0.0000 0.0000  4 Dy 3.03, 4 Y 3.20

Results
formation enthalpy at 0 K = -15.4 kJ/mol of atoms
offset from the most stable computed form = 3 meV per atom
total magnetization = 0.00 μB per formula unit

---

[3]
Entry from Alexandria via LeMat-Bulk: crystalline GaHg2Bi at its relaxed geometry (PBE).

Cell lengths 8.2523, 8.2523, 6.6117 Å; angles 51.39, 51.39, 90.00 degrees
With the nearest neighbours (Å) after each atom.
Fractional positions:
Bi: 0.0000 0.0000 0.0000  2 Ga 3.11, 4 Hg 3.17
Bi: 0.7500 0.2500 0.5000  2 Ga 3.11, 4 Hg 3.17
Ga: 0.5000 0.5000 0.0000  4 Hg 2.87, 2 Bi 3.11
Ga: 0.2500 0.7500 0.5000  4 Hg 2.87, 2 Bi 3.11
Hg: 0.5982 0.1250 0.2500  2 Ga 2.87, 2 Hg 3.14, 2 Bi 3.17
Hg: 0.1518 0.6250 0.2500  2 Ga 2.87, 2 Hg 3.14, 2 Bi 3.17
Hg: 0.3750 0.4018 0.7500  2 Ga 2.87, 2 Hg 3.14, 2 Bi 3.17
Hg: 0.8750 0.8482 0.7500  2 Ga 2.87, 2 Hg 3.14, 2 Bi 3.17

Results
formation enthalpy at 0 K = 11.1 kJ/mol of atoms
offset from the most stable computed form = 30 meV per atom
total magnetization = 0.00 μB per formula unit